Entry 1:
First-principles (PBE) data for a geometry-optimized SrTeI2Br structure, as listed in Alexandria via LeMat-Bulk.

```
SrTeI2Br
1.0
5.7096 0.0000 0.0000
0.0000 5.7096 0.0000
0.0000 0.0000 6.1856
Sr Te I Br
1 1 2 1
Cartesian
0.0000 0.0000 0.0000
2.8548 2.8548 0.0000
0.0000 2.8548 3.0928
2.8548 0.0000 3.0928
2.8548 2.8548 3.0928
```

The calculation puts the uncorrected energy at -0.08296 Ha/atom. The crystal system is tetragonal. As for the energy above the most stable polymorph in this dataset: 5 meV/atom. The space group is P4/mmm.

Entry 2:
First-principles (PBE) data for a geometry-optimized SrTlIBr2 structure, as listed in Alexandria via LeMat-Bulk.

```
SrTlIBr2
1.0
5.9184 0.0000 0.0000
0.0000 5.9184 0.0000
0.0000 0.0000 6.5097
Sr Tl I Br
1 1 1 2
Cartesian
0.0000 0.0000 0.0000
2.9592 2.9592 3.2548
0.0000 0.0000 3.2548
0.0000 2.9592 0.0000
2.9592 0.0000 0.0000
```

The calculation puts the uncorrected energy at -0.11710 Ha/atom. The crystal system is tetragonal. The space group is P4/mmm.

Entry 3:
First-principles (PBE) data for a geometry-optimized SrTl2IBr4 structure, as listed in Alexandria via LeMat-Bulk.

```
SrTl2IBr4
1.0
6.4149 -7.2039 0.0000
6.4149 7.2039 0.0000
-6.1971 0.0000 7.0402
Sr Tl I Br
2 4 2 8
Cartesian
0.0000 0.0000 0.0000
-3.0986 0.0000 3.5201
3.2074 3.6019 0.0000
0.1089 -3.6019 3.5201
6.4149 0.0000 0.0000
3.3163 0.0000 3.5201
0.1089 3.6019 3.5201
3.2074 -3.6019 0.0000
3.3213 4.1590 3.2046
-3.0891 0.2761 6.7912
6.4099 4.1590 0.3155
0.0095 -0.2761 3.2711
6.6232 0.2761 3.7691
0.2228 -4.1590 6.7247
9.7217 -0.2761 0.2490
3.3113 -4.1590 3.8356
```

The calculation puts the uncorrected energy at -0.10482 Ha/atom. The crystal system is monoclinic. The space group is C2/c.

Entry 4:
First-principles (PBE) data for a geometry-optimized TaI4Br structure, as listed in Alexandria via LeMat-Bulk.

```
TaI4Br
1.0
7.6798 -4.4788 0.0000
7.6798 4.4788 0.0000
-1.2389 0.0000 7.3940
Ta I Br
2 8 2
Cartesian
0.0964 0.0000 1.5004
14.0243 0.0000 5.8935
6.0088 2.7082 0.2111
7.0604 2.6841 3.6970
2.7039 0.0000 2.5995
8.1120 2.7082 7.1828
6.0088 -2.7082 0.2111
11.4169 0.0000 4.7945
7.0604 -2.6841 3.6970
8.1120 -2.7082 7.1828
3.5392 0.0000 5.2777
10.5816 0.0000 2.1163
```

The calculation puts the uncorrected energy at -0.12859 Ha/atom. The crystal system is monoclinic. As for the energy above the most stable polymorph in this dataset: 14 meV/atom. The space group is C2/m.

Entry 5:
First-principles (PBE) data for a geometry-optimized Ta3IBr7 structure, as listed in Alexandria via LeMat-Bulk.

```
Ta3IBr7
1.0
7.1720 0.0000 0.0000
-3.5860 6.2112 0.0000
0.0000 0.0000 7.5796
Ta I Br
3 1 7
Cartesian
-1.4404 3.3092 0.0000
1.4404 3.3092 0.0000
0.0000 5.8040 0.0000
0.0000 4.1408 2.2130
0.0000 2.0983 5.8002
-1.7688 5.1620 5.8002
1.7741 1.0243 1.3969
1.7688 5.1620 5.8002
3.5860 2.0704 6.1610
5.3979 1.0243 1.3969
3.5860 4.1626 1.3969
```

The calculation puts the uncorrected energy at -0.19103 Ha/atom. The crystal system is trigonal. The space group is P3m1.

Entry 6:
First-principles (PBE) data for a geometry-optimized TaI6Br2 structure, as listed in Alexandria via LeMat-Bulk.

```
TaI6Br2
1.0
8.3407 0.0000 0.0000
0.0000 9.2719 0.0000
-6.8645 0.0000 12.3648
Ta I Br
2 12 4
Cartesian
0.0000 0.0000 0.0000
-3.4322 4.6359 6.1824
-3.4998 1.9977 6.8233
-0.0675 2.6382 0.6409
-4.3726 0.4506 11.1996
-0.9404 4.1854 5.0172
-2.1671 5.1576 8.6156
1.2651 8.7502 2.4333
0.2111 0.5217 9.9315
3.6434 4.1143 3.7491
2.4166 5.0865 7.3475
5.8488 8.8213 1.1651
1.5438 6.6337 11.7238
4.9760 7.2742 5.5415
0.1195 6.4700 3.6503
-3.3128 7.4378 9.8327
4.7890 1.8341 2.5321
1.3567 2.8019 8.7144
```

The calculation puts the uncorrected energy at -0.10839 Ha/atom. The crystal system is monoclinic. The space group is P2_1/c.

Entry 7:
First-principles (PBE) data for a geometry-optimized TaI4Br structure, as listed in Alexandria via LeMat-Bulk.

```
TaI4Br
1.0
9.7544 0.0000 0.0000
0.0000 6.5068 0.0000
-2.0713 0.0000 7.6967
Ta I Br
2 8 2
Cartesian
0.0000 0.0000 0.0000
-1.0356 3.2534 3.8484
-0.3539 1.5984 6.0741
0.6818 1.6550 2.2257
1.1231 4.6945 4.4284
2.1588 5.0657 0.5800
5.5244 1.4411 7.1167
6.5600 1.8123 3.2683
7.0014 4.8518 5.4710
8.0370 4.9084 1.6226
4.8772 0.0000 0.0000
3.8416 3.2534 3.8484
```

The calculation puts the uncorrected energy at -0.12911 Ha/atom. The crystal system is monoclinic. As for the energy above the most stable polymorph in this dataset: 0 meV/atom. The space group is P2_1/c.

Entry 8:
First-principles (PBE) data for a geometry-optimized Ta2I4Br structure, as listed in Alexandria via LeMat-Bulk.

```
Ta2I4Br
1.0
4.4443 -5.9441 0.0000
4.4443 5.9441 0.0000
-3.2318 0.0000 9.1815
Ta I Br
4 8 2
Cartesian
-0.4891 0.0000 1.4333
2.3854 4.1201 3.3131
3.2715 4.1201 5.8684
6.1460 0.0000 7.7482
-0.3824 0.7577 6.3847
2.2168 0.3418 0.7120
0.6938 -1.4118 3.6375
1.2032 -3.0243 7.0421
3.4400 0.3418 8.4695
6.0393 0.7577 2.7969
4.4536 -3.0243 2.1394
4.9631 -1.4118 5.5440
4.4443 3.7045 0.0000
2.8284 1.8109 4.5908
```

The calculation puts the uncorrected energy at -0.17290 Ha/atom. The crystal system is monoclinic. The space group is C2.

Q: uncorrected energy of number 5 (Ta3IBr7)?
A: -0.19103 Ha/atom